La8Er3Tm2 | GGA-PBE | optimized geometry

Properties
calculated density: 7.0 Mg/m³
calculated formation energy: 0.18 eV/atom
distance to the lowest polymorph of the same formula: 0.038 eV/atom
VASP energy: -59.7 eV/cell

a b c (Å): 10.919 10.919 5.815
angles (deg): 90.02 90.02 41.65
Fractional coordinates of all 13 atoms:
La 0.093 0.695 0.000
La 0.176 0.176 0.501
La 0.305 0.907 0.000
La 0.370 0.370 0.501
La 0.630 0.630 0.499
La 0.695 0.093 0.000
La 0.824 0.824 0.499
La 0.907 0.305 0.000
Er 0.215 0.785 0.500
Er 0.500 0.500 0.000
Er 0.785 0.215 0.500
Tm 0.261 0.261 0.001
Tm 0.739 0.739 0.999